*one*
DFT (GGA-PBE) results for Nd3MgTl after structural relaxation.

Output
V: 616 Å³/cell
Density of states at the Fermi level: 4.34 states/eV/f.u.
Total moment: 0.000 μB/cell

CIF file:
```
data_Nd3MgTl
_chemical_formula_sum 'Nd12 Mg4 Tl4'
_cell_length_a 16.6329
_cell_length_b 5.4722
_cell_length_c 6.8302
_cell_angle_alpha 90.00
_cell_angle_beta 97.52
_cell_angle_gamma 90.00
_space_group_name_H-M_alt 'C 1 2/m 1'
_space_group_IT_number 12
loop_
_space_group_symop_operation_xyz
'x,y,z'
'-x,-y,-z'
'-x,y,-z'
'x,-y,z'
'x+1/2,y+1/2,z'
'-x+1/2,-y+1/2,-z'
'-x+1/2,y+1/2,-z'
'x+1/2,-y+1/2,z'
loop_
_atom_site_label
_atom_site_type_symbol
_atom_site_fract_x
_atom_site_fract_y
_atom_site_fract_z
Nd1 Nd 0.0216 0.0000 0.2610
Nd2 Nd 0.1018 0.5000 0.9599
Nd3 Nd 0.2064 0.0000 0.6470
Mg1 Mg 0.2076 0.0000 0.1277
Tl1 Tl 0.0994 0.5000 0.4729
```

***

*two*
DFT (GGA-PBE) results for Nd3MgTl after structural relaxation.

Output
V: 617 Å³/cell
Density of states at the Fermi level: 6.38 states/eV/f.u.
Total moment: 0.000 μB/cell

CIF file:
```
data_Nd3MgTl
_chemical_formula_sum 'Nd12 Mg4 Tl4'
_cell_length_a 5.2742
_cell_length_b 22.1782
_cell_length_c 5.2713
_cell_angle_alpha 90.00
_cell_angle_beta 90.00
_cell_angle_gamma 90.00
_space_group_name_H-M_alt 'C m c m'
_space_group_IT_number 63
_space_group_name_Hall '-C 2c 2'
loop_
_atom_site_label
_atom_site_type_symbol
_atom_site_fract_x
_atom_site_fract_y
_atom_site_fract_z
Nd1 Nd 0.0000 0.0569 0.2500
Nd2 Nd 0.0000 0.2500 0.2500
Nd3 Nd 0.0000 0.4412 0.2500
Mg1 Mg 0.0000 0.1534 0.7500
Tl1 Tl 0.0000 0.3454 0.7500
```

***

Name the most stable of them. *two*.

***

*one*
DFT (GGA-PBE) results for NdMg2Tl after structural relaxation.

Output
V: 408 Å³/cell
Density of states at the Fermi level: 1.97 states/eV/f.u.
Total moment: 0.000 μB/cell

CIF file:
```
data_NdMg2Tl
_chemical_formula_sum 'Nd4 Mg8 Tl4'
_cell_length_a 7.4184
_cell_length_b 7.4184
_cell_length_c 7.4184
_cell_angle_alpha 90.00
_cell_angle_beta 90.00
_cell_angle_gamma 90.00
_space_group_name_H-M_alt 'F m -3 m'
_space_group_IT_number 225
_space_group_name_Hall '-F 4 2 3'
loop_
_atom_site_label
_atom_site_type_symbol
_atom_site_fract_x
_atom_site_fract_y
_atom_site_fract_z
Nd1 Nd 0.0000 0.0000 0.0000
Mg1 Mg 0.2500 0.2500 0.2500
Tl1 Tl 0.0000 0.0000 0.5000
```

***

*two*
DFT (GGA-PBE) results for NdMg2Tl after structural relaxation.

Output
V: 106 Å³/cell
Density of states at the Fermi level: 2.33 states/eV/f.u.
Total moment: 0.000 μB/cell

CIF file:
```
data_NdMg2Tl
_chemical_formula_sum 'Nd1 Mg2 Tl1'
_cell_length_a 4.6321
_cell_length_b 4.6321
_cell_length_c 4.9292
_cell_angle_alpha 90.00
_cell_angle_beta 90.00
_cell_angle_gamma 90.00
_space_group_name_H-M_alt 'P 4/m m m'
_space_group_IT_number 123
_space_group_name_Hall '-P 4 2'
loop_
_atom_site_label
_atom_site_type_symbol
_atom_site_fract_x
_atom_site_fract_y
_atom_site_fract_z
Nd1 Nd 0.0000 0.0000 0.0000
Mg1 Mg 0.0000 0.5000 0.5000
Tl1 Tl 0.5000 0.5000 0.0000
```

***

Name the most stable of them. *two*.

***

*one*
DFT (GGA-PBE) results for Nd5Mg2Tl after structural relaxation.

Output
V: 1027 Å³/cell
Density of states at the Fermi level: 10.79 states/eV/f.u.
Total moment: 0.003 μB/cell

CIF file:
```
data_Nd5Mg2Tl
_chemical_formula_sum 'Nd20 Mg8 Tl4'
_cell_length_a 8.0837
_cell_length_b 8.0837
_cell_length_c 15.7138
_cell_angle_alpha 90.00
_cell_angle_beta 90.00
_cell_angle_gamma 90.00
_space_group_name_H-M_alt 'I 4/m c m'
_space_group_IT_number 140
_space_group_name_Hall '-I 4 2c'
loop_
_atom_site_label
_atom_site_type_symbol
_atom_site_fract_x
_atom_site_fract_y
_atom_site_fract_z
Nd1 Nd 0.0000 0.0000 0.0000
Nd2 Nd 0.1627 0.3373 0.1585
Mg1 Mg 0.1266 0.3734 0.5000
Tl1 Tl 0.0000 0.0000 0.2500
```

***

*two*
DFT (GGA-PBE) results for Nd5Mg2Tl after structural relaxation.

Output
V: 491 Å³/cell
Density of states at the Fermi level: 10.56 states/eV/f.u.
Total moment: 0.002 μB/cell

CIF file:
```
data_Nd5Mg2Tl
_chemical_formula_sum 'Nd10 Mg4 Tl2'
_cell_length_a 7.8896
_cell_length_b 7.8896
_cell_length_c 7.8819
_cell_angle_alpha 90.00
_cell_angle_beta 90.00
_cell_angle_gamma 90.00
_space_group_name_H-M_alt 'I 4 m m'
_space_group_IT_number 107
_space_group_name_Hall 'I 4 -2'
loop_
_atom_site_label
_atom_site_type_symbol
_atom_site_fract_x
_atom_site_fract_y
_atom_site_fract_z
Nd1 Nd 0.0000 0.0000 0.0000
Nd2 Nd 0.2502 0.2502 0.2494
Mg1 Mg 0.0000 0.5000 0.9996
Tl1 Tl 0.0000 0.0000 0.4989
```

***

Name the most stable of them. *two*.

***

*one*
DFT (GGA-PBE) results for NdTm2Mg after structural relaxation.

Output
V: 473 Å³/cell
Density of states at the Fermi level: 5.77 states/eV/f.u.
Total moment: 2.233 μB/cell

CIF file:
```
data_NdTm2Mg
_chemical_formula_sum 'Nd4 Tm8 Mg4'
_cell_length_a 7.7925
_cell_length_b 7.7925
_cell_length_c 7.7925
_cell_angle_alpha 90.00
_cell_angle_beta 90.00
_cell_angle_gamma 90.00
_space_group_name_H-M_alt 'F m -3 m'
_space_group_IT_number 225
_space_group_name_Hall '-F 4 2 3'
loop_
_atom_site_label
_atom_site_type_symbol
_atom_site_fract_x
_atom_site_fract_y
_atom_site_fract_z
Nd1 Nd 0.0000 0.0000 0.0000
Tm1 Tm 0.2500 0.2500 0.2500
Mg1 Mg 0.0000 0.0000 0.5000
```

***

*two*
DFT (GGA-PBE) results for NdTm2Mg after structural relaxation.

Output
V: 119 Å³/cell
Density of states at the Fermi level: 6.84 states/eV/f.u.
Total moment: 0.001 μB/cell

CIF file:
```
data_NdTm2Mg
_chemical_formula_sum 'Nd1 Tm2 Mg1'
_cell_length_a 4.8898
_cell_length_b 4.8898
_cell_length_c 4.9724
_cell_angle_alpha 90.00
_cell_angle_beta 90.00
_cell_angle_gamma 90.00
_space_group_name_H-M_alt 'P 4/m m m'
_space_group_IT_number 123
_space_group_name_Hall '-P 4 2'
loop_
_atom_site_label
_atom_site_type_symbol
_atom_site_fract_x
_atom_site_fract_y
_atom_site_fract_z
Nd1 Nd 0.0000 0.0000 0.0000
Tm1 Tm 0.0000 0.5000 0.5000
Mg1 Mg 0.5000 0.5000 0.0000
```

***

*three*
DFT (GGA-PBE) results for NdTm2Mg after structural relaxation.

Output
V: 359 Å³/cell
Density of states at the Fermi level: 4.15 states/eV/f.u.
Total moment: 0.000 μB/cell

CIF file:
```
data_NdTm2Mg
_chemical_formula_sum 'Nd3 Tm6 Mg3'
_cell_length_a 3.5295
_cell_length_b 3.5295
_cell_length_c 33.3222
_cell_angle_alpha 90.00
_cell_angle_beta 90.00
_cell_angle_gamma 120.00
_space_group_name_H-M_alt 'R -3 m'
_space_group_IT_number 166
_space_group_name_Hall '-R 3 2"'
loop_
_atom_site_label
_atom_site_type_symbol
_atom_site_fract_x
_atom_site_fract_y
_atom_site_fract_z
Nd1 Nd 0.0000 0.0000 0.0000
Tm1 Tm 0.0000 0.0000 0.2457
Mg1 Mg 0.0000 0.0000 0.5000
```

***

*four*
DFT (GGA-PBE) results for NdTm2Mg after structural relaxation.

Output
V: 241 Å³/cell
Density of states at the Fermi level: 6.30 states/eV/f.u.
Total moment: 0.000 μB/cell

CIF file:
```
data_NdTm2Mg
_chemical_formula_sum 'Nd2 Tm4 Mg2'
_cell_length_a 6.0718
_cell_length_b 3.4993
_cell_length_c 11.5085
_cell_angle_alpha 90.00
_cell_angle_beta 100.22
_cell_angle_gamma 90.00
_space_group_name_H-M_alt 'C 1 m 1'
_space_group_IT_number 8
loop_
_space_group_symop_operation_xyz
'x,y,z'
'x,-y,z'
'x+1/2,y+1/2,z'
'x+1/2,-y+1/2,z'
loop_
_atom_site_label
_atom_site_type_symbol
_atom_site_fract_x
_atom_site_fract_y
_atom_site_fract_z
Nd1 Nd 0.0000 0.0000 0.0000
Tm1 Tm 0.0804 0.5000 0.7417
Tm2 Tm 0.4192 0.0000 0.2565
Mg1 Mg 0.3327 0.5000 0.4995
```

***

Name the most stable of them. *three*.

***

*one*
DFT (GGA-PBE) results for NdTm2Mg4 after structural relaxation.

Output
V: 420 Å³/cell
Density of states at the Fermi level: 6.85 states/eV/f.u.
Total moment: 0.005 μB/cell

CIF file:
```
data_NdTm2Mg4
_chemical_formula_sum 'Nd2 Tm4 Mg8'
_cell_length_a 5.3586
_cell_length_b 5.3586
_cell_length_c 14.6253
_cell_angle_alpha 90.00
_cell_angle_beta 90.00
_cell_angle_gamma 90.00
_space_group_name_H-M_alt 'I 4/m m m'
_space_group_IT_number 139
_space_group_name_Hall '-I 4 2'
loop_
_atom_site_label
_atom_site_type_symbol
_atom_site_fract_x
_atom_site_fract_y
_atom_site_fract_z
Nd1 Nd 0.0000 0.0000 0.0000
Tm1 Tm 0.0000 0.0000 0.2493
Mg1 Mg 0.0000 0.5000 0.1210
```

***

*two*
DFT (GGA-PBE) results for NdTm2Mg4 after structural relaxation.

Output
V: 421 Å³/cell
Density of states at the Fermi level: 5.48 states/eV/f.u.
Total moment: 0.000 μB/cell

CIF file:
```
data_NdTm2Mg4
_chemical_formula_sum 'Nd2 Tm4 Mg8'
_cell_length_a 5.9640
_cell_length_b 12.9051
_cell_length_c 5.4758
_cell_angle_alpha 90.00
_cell_angle_beta 90.00
_cell_angle_gamma 90.00
_space_group_name_H-M_alt 'C m m m'
_space_group_IT_number 65
_space_group_name_Hall '-C 2 2'
loop_
_atom_site_label
_atom_site_type_symbol
_atom_site_fract_x
_atom_site_fract_y
_atom_site_fract_z
Nd1 Nd 0.0000 0.0000 0.0000
Tm1 Tm 0.0000 0.3705 0.5000
Mg1 Mg 0.0000 0.1251 0.5000
Mg2 Mg 0.0000 0.2529 0.0000
```

***

Name the most stable of them. *one*.